1 | Density functional theory data (PBE) for a relaxed LiHfCoBi crystal.

Output
Space-group type ... F-43m (216)

Lattice parameters (Å, degrees): 4.542 4.542 4.542 60.00 60.00 60.00
Element x y z (fractional)
Li: 0.000 0.000 0.000
Hf: 0.750 0.750 0.750
Co: 0.500 0.500 0.500
Bi: 0.250 0.250 0.250

2 | Density functional theory data (PBE) for a relaxed LiHfCoBi crystal.

Output
Space-group type ... F-43m (216)

Lattice parameters (Å, degrees): 4.676 4.676 4.676 60.00 60.00 60.00
Element x y z (fractional)
Li: 0.000 0.000 0.000
Hf: 0.250 0.250 0.250
Co: 0.750 0.750 0.750
Bi: 0.500 0.500 0.500

Calculated relative energies: 1 0; 2 389, given in meV per atom

1 | Density functional theory data (PBE) for a relaxed HfMgCoBi crystal.

Output
Space-group type ... F-43m (216)

Lattice parameters (Å, degrees): 4.773 4.773 4.773 60.00 60.00 60.00
Element x y z (fractional)
Hf: 0.000 0.000 0.000
Mg: 0.250 0.250 0.250
Co: 0.750 0.750 0.750
Bi: 0.500 0.500 0.500

2 | Density functional theory data (PBE) for a relaxed HfMgCoBi crystal.

Output
Space-group type ... F-43m (216)

Lattice parameters (Å, degrees): 4.817 4.817 4.817 60.00 60.00 60.00
Element x y z (fractional)
Hf: 0.000 0.000 0.000
Mg: 0.750 0.750 0.750
Co: 0.500 0.500 0.500
Bi: 0.250 0.250 0.250

Calculated relative energies: 1 0; 2 154, given in meV per atom

1 | Density functional theory data (PBE) for a relaxed HfCoBiPd crystal.

Output
Space-group type ... F-43m (216)

Lattice parameters (Å, degrees): 4.650 4.650 4.650 60.00 60.00 60.00
Element x y z (fractional)
Hf: 0.000 0.000 0.000
Co: 0.750 0.750 0.750
Bi: 0.500 0.500 0.500
Pd: 0.250 0.250 0.250

2 | Density functional theory data (PBE) for a relaxed HfCoBiPd crystal.

Output
Space-group type ... F-43m (216)

Lattice parameters (Å, degrees): 4.669 4.669 4.669 60.00 60.00 60.00
Element x y z (fractional)
Hf: 0.000 0.000 0.000
Co: 0.500 0.500 0.500
Bi: 0.250 0.250 0.250
Pd: 0.750 0.750 0.750

Calculated relative energies: 1 0; 2 200, given in meV per atom

1 | Density functional theory data (PBE) for a relaxed HfCoBiPt crystal.

Output
Space-group type ... F-43m (216)

Lattice parameters (Å, degrees): 4.672 4.672 4.672 60.00 60.00 60.00
Element x y z (fractional)
Hf: 0.000 0.000 0.000
Co: 0.750 0.750 0.750
Bi: 0.500 0.500 0.500
Pt: 0.250 0.250 0.250

2 | Density functional theory data (PBE) for a relaxed HfCoBiPt crystal.

Output
Space-group type ... F-43m (216)

Lattice parameters (Å, degrees): 4.672 4.672 4.672 60.00 60.00 60.00
Element x y z (fractional)
Hf: 0.000 0.000 0.000
Co: 0.500 0.500 0.500
Bi: 0.250 0.250 0.250
Pt: 0.750 0.750 0.750

Calculated relative energies: 1 0; 2 113, given in meV per atom

1 | Density functional theory data (PBE) for a relaxed HfCoTcBi crystal.

Output
Space-group type ... F-43m (216)

Lattice parameters (Å, degrees): 4.650 4.650 4.650 60.00 60.00 60.00
Element x y z (fractional)
Hf: 0.000 0.000 0.000
Co: 0.500 0.500 0.500
Tc: 0.750 0.750 0.750
Bi: 0.250 0.250 0.250

2 | Density functional theory data (PBE) for a relaxed HfCoTcBi crystal.

Output
Space-group type ... F-43m (216)

Lattice parameters (Å, degrees): 4.602 4.602 4.602 60.00 60.00 60.00
Element x y z (fractional)
Hf: 0.000 0.000 0.000
Co: 0.750 0.750 0.750
Tc: 0.250 0.250 0.250
Bi: 0.500 0.500 0.500

Calculated relative energies: 1 431; 2 0, given in meV per atom

1 | Density functional theory data (PBE) for a relaxed CoHgBiMo crystal.

Output
Space-group type ... F-43m (216)

Lattice parameters (Å, degrees): 4.779 4.779 4.779 60.00 60.00 60.00
Element x y z (fractional)
Co: 0.000 0.000 0.000
Hg: 0.500 0.500 0.500
Bi: 0.750 0.750 0.750
Mo: 0.250 0.250 0.250

2 | Density functional theory data (PBE) for a relaxed CoHgBiMo crystal.

Output
Space-group type ... F-43m (216)

Lattice parameters (Å, degrees): 4.687 4.687 4.687 60.00 60.00 60.00
Element x y z (fractional)
Co: 0.000 0.000 0.000
Hg: 0.250 0.250 0.250
Bi: 0.750 0.750 0.750
Mo: 0.500 0.500 0.500

Calculated relative energies: 1 162; 2 0, given in meV per atom